No. 1
{
  "formula": "TcIr2Au",
  "functional": "PBE",
  "state": "relaxed",
  "total_energy_ev_per_atom": -7.450,
  "formation_enthalpy_0k_ev_per_atom": 0.39,
  "crystal_system": "orthorhombic",
  "cell": [[1.376, -2.367, 0.000], [1.376, 2.367, 0.000], [0.000, 0.000, 9.663]],
  "species": ["Tc", "Ir", "Ir", "Au"],
  "frac_coords": [[0.000, 0.000, 0.000], [0.000, 0.000, 0.524], [0.500, 0.500, 0.767], [0.500, 0.500, 0.263]]
}

=====

No. 2
{
  "formula": "Cs2BePbCl6",
  "functional": "PBE",
  "state": "relaxed",
  "e_form_raw_ev_per_atom": -1.462,
  "total_energy_ev_per_atom": -3.484,
  "crystal_system": "tetragonal",
  "cell": [[-3.686, 3.686, 5.274], [3.686, -3.686, 5.274], [3.686, 3.686, -5.274]],
  "species": ["Cs", "Cs", "Be", "Pb", "Cl", "Cl", "Cl", "Cl", "Cl", "Cl"],
  "frac_coords": [[0.250, 0.750, 0.500], [0.750, 0.250, 0.500], [0.000, 0.000, 0.000], [0.500, 0.500, 0.000], [0.222, 0.222, 0.445], [0.222, 0.778, 0.000], [0.227, 0.227, 0.000], [0.773, 0.773, 0.000], [0.778, 0.222, 0.000], [0.778, 0.778, 0.555]]
}

=====

No. 3
{
  "formula": "K3LiCo2Cl8",
  "functional": "PBE",
  "state": "relaxed",
  "e_form_raw_ev_per_atom": -1.330,
  "total_energy_ev_per_atom": -3.772,
  "crystal_system": "trigonal",
  "cell": [[7.106, 0.000, 0.000], [-3.553, 6.154, 0.000], [0.000, 0.000, 8.880]],
  "species": ["K", "K", "K", "Li", "Co", "Co", "Cl", "Cl", "Cl", "Cl", "Cl", "Cl", "Cl", "Cl"],
  "frac_coords": [[0.000, 0.000, 0.000], [0.333, 0.667, 0.628], [0.667, 0.333, 0.372], [0.000, 0.000, 0.500], [0.333, 0.667, 0.217], [0.667, 0.333, 0.783], [0.165, 0.329, 0.319], [0.165, 0.835, 0.319], [0.329, 0.165, 0.681], [0.333, 0.667, 0.969], [0.667, 0.333, 0.031], [0.671, 0.835, 0.319], [0.835, 0.165, 0.681], [0.835, 0.671, 0.681]]
}

=====

No. 4
{
  "formula": "GdCdHgPb",
  "functional": "PBE",
  "state": "relaxed",
  "total_energy_ev_per_atom": -5.012,
  "formation_enthalpy_0k_ev_per_atom": -0.26,
  "crystal_system": "cubic",
  "cell": [[0.000, 3.741, 3.741], [3.741, 0.000, 3.741], [3.741, 3.741, 0.000]],
  "species": ["Gd", "Cd", "Hg", "Pb"],
  "frac_coords": [[0.000, 0.000, 0.000], [0.500, 0.500, 0.500], [0.250, 0.250, 0.250], [0.750, 0.750, 0.750]]
}

=====

No. 5
{
  "formula": "LiTc2AsN",
  "functional": "PBE",
  "state": "relaxed",
  "e_form_raw_ev_per_atom": -0.083,
  "total_energy_ev_per_atom": -7.207,
  "crystal_system": "tetragonal",
  "cell": [[4.071, 0.000, 0.000], [0.000, 4.071, 0.000], [0.000, 0.000, 3.750]],
  "species": ["Li", "Tc", "Tc", "As", "N"],
  "frac_coords": [[0.000, 0.000, 0.000], [0.000, 0.500, 0.500], [0.500, 0.000, 0.500], [0.500, 0.500, 0.000], [0.000, 0.000, 0.500]]
}

=====

No. 6
{
  "formula": "LaHo2Tc",
  "functional": "PBE",
  "state": "relaxed",
  "total_energy_ev_per_atom": -5.892,
  "formation_enthalpy_0k_ev_per_atom": 0.22,
  "crystal_system": "trigonal",
  "cell": [[1.718, 0.992, 10.954], [-1.718, 0.992, 10.954], [0.000, -1.984, 10.954]],
  "species": ["La", "Ho", "Ho", "Tc"],
  "frac_coords": [[0.000, 0.000, 0.000], [0.106, 0.106, 0.106], [0.894, 0.894, 0.894], [0.500, 0.500, 0.500]]
}

=====

No. 7
{
  "formula": "Sb4Pt",
  "functional": "PBE",
  "state": "relaxed",
  "e_form_raw_ev_per_atom": 0.009,
  "total_energy_ev_per_atom": -4.497,
  "crystal_system": "monoclinic",
  "cell": [[5.108, -4.495, 0.000], [5.108, 4.495, 0.000], [-3.422, 0.000, 6.510]],
  "species": ["Sb", "Sb", "Sb", "Sb", "Sb", "Sb", "Sb", "Sb", "Pt", "Pt"],
  "frac_coords": [[0.030, 0.193, 0.181], [0.193, 0.030, 0.681], [0.284, 0.478, 0.015], [0.478, 0.284, 0.515], [0.522, 0.716, 0.485], [0.716, 0.522, 0.985], [0.807, 0.970, 0.319], [0.970, 0.807, 0.819], [0.340, 0.660, 0.750], [0.660, 0.340, 0.250]]
}

=====

No. 8
{
  "formula": "SrAg7Pd5",
  "functional": "PBE",
  "state": "relaxed",
  "total_energy_ev_per_atom": -3.828,
  "formation_enthalpy_0k_ev_per_atom": -0.17,
  "crystal_system": "orthorhombic",
  "cell": [[-2.744, 4.706, 4.709], [2.744, -4.706, 4.709], [2.744, 4.706, -4.709]],
  "species": ["Sr", "Ag", "Ag", "Ag", "Ag", "Ag", "Ag", "Ag", "Pd", "Pd", "Pd", "Pd", "Pd"],
  "frac_coords": [[0.000, 0.000, 0.000], [0.209, 0.492, 0.717], [0.340, 0.990, 0.351], [0.343, 0.343, 0.000], [0.639, 0.990, 0.649], [0.646, 0.646, 0.000], [0.768, 0.268, 0.500], [0.775, 0.492, 0.283], [0.217, 0.717, 0.500], [0.489, 0.491, 0.498], [0.489, 0.992, 0.999], [0.993, 0.491, 0.001], [0.993, 0.992, 0.502]]
}

=====

No. 9
{
  "formula": "Nb3SbP6O24",
  "functional": "PBE",
  "state": "relaxed",
  "e_form_raw_ev_per_atom": -2.269,
  "total_energy_ev_per_atom": -7.733,
  "crystal_system": "trigonal",
  "cell": [[4.438, 2.562, 7.569], [-4.438, 2.562, 7.569], [0.000, -5.124, 7.569]],
  "species": ["Nb", "Nb", "Nb", "Sb", "P", "P", "P", "P", "P", "P", "O", "O", "O", "O", "O", "O", "O", "O", "O", "O", "O", "O", "O", "O", "O", "O", "O", "O", "O", "O", "O", "O", "O", "O"],
  "frac_coords": [[0.000, 0.000, 0.000], [0.217, 0.217, 0.217], [0.718, 0.718, 0.718], [0.499, 0.499, 0.499], [0.090, 0.844, 0.391], [0.324, 0.609, 0.896], [0.391, 0.090, 0.844], [0.609, 0.896, 0.324], [0.844, 0.391, 0.090], [0.896, 0.324, 0.609], [0.018, 0.368, 0.105], [0.021, 0.894, 0.244], [0.056, 0.318, 0.421], [0.105, 0.018, 0.368], [0.141, 0.757, 0.968], [0.244, 0.021, 0.894], [0.269, 0.685, 0.381], [0.318, 0.421, 0.056], [0.329, 0.617, 0.724], [0.368, 0.105, 0.018], [0.381, 0.269, 0.685], [0.421, 0.056, 0.318], [0.491, 0.642, 0.862], [0.577, 0.933, 0.796], [0.617, 0.724, 0.329], [0.642, 0.862, 0.491], [0.685, 0.381, 0.269], [0.724, 0.329, 0.617], [0.757, 0.968, 0.141], [0.796, 0.577, 0.933], [0.862, 0.491, 0.642], [0.894, 0.244, 0.021], [0.933, 0.796, 0.577], [0.968, 0.141, 0.757]]
}

=====

No. 10
{
  "formula": "K4PaO5",
  "functional": "PBE",
  "state": "relaxed",
  "e_form_raw_ev_per_atom": -2.146,
  "total_energy_ev_per_atom": -6.014,
  "crystal_system": "tetragonal",
  "cell": [[-4.337, 4.337, 2.627], [4.337, -4.337, 2.627], [4.337, 4.337, -2.627]],
  "species": ["K", "K", "K", "K", "Pa", "O", "O", "O", "O", "O"],
  "frac_coords": [[0.110, 0.298, 0.408], [0.298, 0.890, 0.187], [0.702, 0.110, 0.813], [0.890, 0.702, 0.592], [0.523, 0.523, 0.000], [0.266, 0.567, 0.839], [0.427, 0.266, 0.699], [0.567, 0.728, 0.301], [0.728, 0.427, 0.161], [0.940, 0.940, 0.000]]
}

=====

No. 11
{
  "formula": "Rb2OsPd",
  "functional": "PBE",
  "state": "relaxed",
  "total_energy_ev_per_atom": -2.915,
  "formation_enthalpy_0k_ev_per_atom": 1.67,
  "crystal_system": "cubic",
  "cell": [[0.000, 4.002, 4.002], [4.002, 0.000, 4.002], [4.002, 4.002, 0.000]],
  "species": ["Rb", "Rb", "Os", "Pd"],
  "frac_coords": [[0.250, 0.250, 0.250], [0.750, 0.750, 0.750], [0.000, 0.000, 0.000], [0.500, 0.500, 0.500]]
}

=====

No. 12
{
  "formula": "LiAcLuSn",
  "functional": "PBE",
  "state": "relaxed",
  "total_energy_ev_per_atom": -3.930,
  "formation_enthalpy_0k_ev_per_atom": -0.29,
  "crystal_system": "cubic",
  "cell": [[0.000, 3.856, 3.856], [3.856, 0.000, 3.856], [3.856, 3.856, 0.000]],
  "species": ["Li", "Ac", "Lu", "Sn"],
  "frac_coords": [[0.000, 0.000, 0.000], [0.750, 0.750, 0.750], [0.250, 0.250, 0.250], [0.500, 0.500, 0.500]]
}

=====

Copy entry 10 word for word.
{
  "formula": "K4PaO5",
  "functional": "PBE",
  "state": "relaxed",
  "e_form_raw_ev_per_atom": -2.146,
  "total_energy_ev_per_atom": -6.014,
  "crystal_system": "tetragonal",
  "cell": [[-4.337, 4.337, 2.627], [4.337, -4.337, 2.627], [4.337, 4.337, -2.627]],
  "species": ["K", "K", "K", "K", "Pa", "O", "O", "O", "O", "O"],
  "frac_coords": [[0.110, 0.298, 0.408], [0.298, 0.890, 0.187], [0.702, 0.110, 0.813], [0.890, 0.702, 0.592], [0.523, 0.523, 0.000], [0.266, 0.567, 0.839], [0.427, 0.266, 0.699], [0.567, 0.728, 0.301], [0.728, 0.427, 0.161], [0.940, 0.940, 0.000]]
}